(1)
DFT (PBE-GGA) results for a relaxed LaHoFe crystal.

Lattice parameters (Å, degrees): 3.402 3.402 13.220 90.00 90.00 90.00
Positions (direct):
La 0.000 0.000 0.000
La 0.500 0.500 0.500
Ho 0.000 0.000 0.753
Ho 0.500 0.500 0.253
Fe 0.000 0.000 0.370
Fe 0.500 0.500 0.870

Crystal system: tetragonal
Calculated volume (A^3/atom): 25.49
DOS at the Fermi energy (states/eV/f.u.): 2.18
Energy of formation (eV/f.u.): 0.35

***

(2)
DFT (PBE-GGA) results for a relaxed RbAlI3 crystal.

Lattice parameters (Å, degrees): 6.824 6.824 6.824 90.00 90.00 90.00
Positions (direct):
Rb 0.000 0.000 0.000
Al 0.500 0.500 0.500
I 0.000 0.000 0.500
I 0.000 0.500 0.000
I 0.500 0.000 0.000

Crystal system: cubic
Formation energy (no corrections) (eV per formula unit): -0.05
Calculated volume (A^3/atom): 63.55
DOS at the Fermi energy (states/eV/f.u.): 10.23

***

- The lowest calculated volume belongs to which entry?
  LaHoFe

***

- Number 2 is which compound?
  RbAlI3